[1]
Material: BeCu
Method: DFT, PBEsol
State: relaxed

Unit cell a=3.644 b=4.721 c=4.721 alpha=120.00 beta=90.00 gamma=90.00
Fractional positions:
Be 0.000 0.000 0.000
Be 0.500 0.333 0.667
Be 0.500 0.667 0.333
Cu 0.000 0.500 0.000
Cu 0.000 0.000 0.500
Cu 0.000 0.500 0.500

Properties
theoretical density: 5.14 g/cm3
ΔH_f (0 K): 292 meV/atom
volume: 70 Å³/cell
DFT total energy: -3.87 eV/atom
SG: P6/mmm (191)


[2]
Material: BeCu
Method: DFT, PBEsol
State: relaxed

Unit cell a=2.511 b=4.326 c=5.854 alpha=108.92 beta=90.00 gamma=106.87
Fractional positions:
Be 0.392 0.784 0.244
Be 0.332 0.664 0.701
Be 0.013 0.026 0.014
Cu 0.718 0.437 0.937
Cu 0.690 0.381 0.353
Cu 0.021 0.041 0.584

Properties
theoretical density: 6.31 g/cm3
ΔH_f (0 K): -76 meV/atom
volume: 57 Å³/cell
DFT total energy: -4.24 eV/atom
SG: Cm (8)